Record 1
Computed, not measured: a relaxed structure of AcCeHg3 at the PBE-GGA level of DFT.

Cell lengths 5.609, 6.442, 17.359 Å; angles 90.00, 90.00, 90.00 degrees
Space group Imma (No. 74)
Unique sites:
1 Ac 0.000 0.250 0.166
2 Ce 0.000 0.250 0.612
3 Hg 0.000 0.250 0.427
4 Hg 0.000 0.250 0.791
5 Hg 0.000 0.250 0.976

Uncorrected energy = -48.6 eV for the cell shown
E_form = -116 kJ/mol of formula units
Energy above the lowest structure with this stoichiometry = 140 meV per atom

Record 2
Computed, not measured: a relaxed structure of Li3TbPu2S6 at the PBE-GGA level of DFT.

Cell lengths 6.849, 11.860, 6.545 Å; angles 90.00, 110.41, 90.00 degrees
Space group C2/m (No. 12)
Unique sites:
1 Li 0.000 0.000 0.000
2 Li 0.000 0.333 0.000
3 Tb 0.000 0.500 0.500
4 Pu 0.000 0.167 0.500
5 S 0.249 0.167 0.249
6 S 0.250 0.000 0.752

Uncorrected energy = -166.9 eV for the cell shown

Record 3
Computed, not measured: a relaxed structure of Ac6OsPd2Pt at the PBE-GGA level of DFT.

Cell lengths 7.599, 7.602, 8.309 Å; angles 90.07, 117.20, 119.92 degrees
Space group P1 (No. 1)
Unique sites:
1 Ac 0.000 0.000 0.000
2 Ac 0.000 0.161 0.511
3 Ac 0.346 0.651 0.000
4 Ac 0.369 0.859 0.511
5 Ac 0.695 0.346 0.000
6 Ac 0.698 0.490 0.511
7 Os 0.860 0.255 0.769
8 Pd 0.503 0.077 0.232
9 Pd 0.504 0.578 0.734
10 Pt 0.858 0.754 0.265

Uncorrected energy = -57.9 eV for the cell shown
E_form = -535 kJ/mol of formula units

Record 4
Computed, not measured: a relaxed structure of Ag4SnPb at the PBE-GGA level of DFT.

Cell lengths 19.060, 5.268, 5.266 Å; angles 90.00, 105.97, 90.00 degrees
Space group C2/c (No. 15)
Unique sites:
1 Ag 0.091 0.243 0.340
2 Ag 0.168 0.255 0.918
3 Sn 0.250 0.250 0.500
4 Pb 0.000 0.255 0.750

Uncorrected energy = -74.9 eV for the cell shown
E_form = 37 kJ/mol of formula units
Energy above the lowest structure with this stoichiometry = 8 meV per atom

Record 5
Computed, not measured: a relaxed structure of Na3CaBi4 at the PBE-GGA level of DFT.

Cell lengths 4.064, 4.064, 14.328 Å; angles 90.00, 90.00, 90.00 degrees
Space group P4/mmm (No. 123)
Unique sites:
1 Na 0.000 0.000 0.000
2 Na 0.000 0.000 0.244
3 Ca 0.000 0.000 0.500
4 Bi 0.500 0.500 0.122
5 Bi 0.500 0.500 0.372

Uncorrected energy = -24.4 eV for the cell shown
E_form = -284 kJ/mol of formula units

Record 6
Computed, not measured: a relaxed structure of Co3Cl5 at the PBE-GGA level of DFT.

Cell lengths 7.703, 15.716, 8.486 Å; angles 90.00, 111.10, 90.00 degrees
Space group Cm (No. 8)
Unique sites:
1 Co 0.000 0.000 0.000
2 Co 0.040 0.429 0.219
3 Co 0.126 0.077 0.808
4 Co 0.387 0.500 0.508
5 Cl 0.125 0.105 0.553
6 Cl 0.171 0.389 0.487
7 Cl 0.274 0.000 0.232
8 Cl 0.313 0.500 0.193
9 Cl 0.423 0.125 0.958
10 Cl 0.446 0.365 0.931

Uncorrected energy = -135.3 eV for the cell shown

Record 7
Computed, not measured: a relaxed structure of Rb3HoAs2O8 at the PBE-GGA level of DFT.

Cell lengths 5.9814, 5.9814, 8.1637 Å; angles 90.00, 90.00, 120.00 degrees
Space group P-3m1 (No. 164)
Unique sites:
1 Rb 0.0000 0.0000 0.0000
2 Rb 0.3333 0.6667 0.7247
3 Ho 0.0000 0.0000 0.5000
4 As 0.3333 0.6667 0.2646
5 O 0.1766 0.3531 0.3399
6 O 0.3333 0.6667 0.0583

Uncorrected energy = -84.5 eV for the cell shown

Record 8
Computed, not measured: a relaxed structure of BaGeIr2O8 at the PBE-GGA level of DFT.

Cell lengths 5.2774, 5.2774, 7.6019 Å; angles 90.00, 90.00, 120.00 degrees
Space group P-3 (No. 147)
Unique sites:
1 Ba 0.0000 0.0000 0.0000
2 Ge 0.0000 0.0000 0.5000
3 Ir 0.3333 0.6667 0.6913
4 O 0.0081 0.2884 0.6578
5 O 0.3333 0.6667 0.9357

Uncorrected energy = -75.2 eV for the cell shown

Record 9
Computed, not measured: a relaxed structure of Er2Ga9Pd3 at the PBE-GGA level of DFT.

Cell lengths 13.294, 7.686, 10.536 Å; angles 90.00, 114.78, 90.00 degrees
Space group C2/c (No. 15)
Unique sites:
1 Er 0.168 0.083 0.251
2 Ga 0.000 0.375 0.250
3 Ga 0.057 0.082 0.922
4 Ga 0.103 0.314 0.749
5 Ga 0.108 0.415 0.072
6 Ga 0.225 0.417 0.421
7 Pd 0.085 0.246 0.500
8 Pd 0.250 0.250 0.000

Uncorrected energy = -240.7 eV for the cell shown
E_form = -794 kJ/mol of formula units

Record 10
Computed, not measured: a relaxed structure of BaTaNO2 at the PBE-GGA level of DFT.

Cell lengths 4.580, 4.580, 4.556 Å; angles 90.00, 90.00, 90.00 degrees
Space group P4/mmm (No. 123)
Unique sites:
1 Ba 0.000 0.000 0.000
2 Ta 0.500 0.500 0.500
3 N 0.000 0.000 0.500
4 O 0.000 0.500 0.000

Uncorrected energy = -25.2 eV for the cell shown

Record 11
Computed, not measured: a relaxed structure of Ba6S5I at the PBE-GGA level of DFT.

Cell lengths 8.024, 13.876, 7.999 Å; angles 90.00, 109.60, 90.00 degrees
Space group C2/m (No. 12)
Unique sites:
1 Ba 0.232 0.000 0.264
2 Ba 0.234 0.179 0.740
3 S 0.000 0.000 0.500
4 S 0.000 0.167 0.000
5 S 0.000 0.339 0.500
6 I 0.000 0.500 0.000

Uncorrected energy = -114.4 eV for the cell shown

Record 12
Computed, not measured: a relaxed structure of CeHo2Ge at the PBE-GGA level of DFT.

Cell lengths 3.5732, 3.5732, 30.0092 Å; angles 90.00, 90.00, 120.00 degrees
Space group R-3m (No. 166, hexagonal axes)
Unique sites:
1 Ce 0.0000 0.0000 0.0000
2 Ho 0.0000 0.0000 0.2362
3 Ge 0.0000 0.0000 0.5000

Uncorrected energy = -61.3 eV for the cell shown
E_form = -69 kJ/mol of formula units
Energy above the lowest structure with this stoichiometry = 145 meV per atom